[1]
# ErNbTc2 | the Alexandria database | PBE-GGA | relaxed
data_ErNbTc2
_space_group_name_H-M_alt 'P 4/m m m'
_space_group_IT_number 123
_space_group_name_Hall '-P 4 2'
_cell_length_a 3.262
_cell_length_b 3.262
_cell_length_c 6.731
_cell_angle_alpha 90.00
_cell_angle_beta 90.00
_cell_angle_gamma 90.00
loop_
_atom_site_label
_atom_site_fract_x
_atom_site_fract_y
_atom_site_fract_z
_atom_site_occupancy
Er1 0.000 0.000 0.000 1
Nb1 0.000 0.000 0.500 1
Tc1 0.500 0.500 0.277 1
# Volume = 72 Å³ per cell
# Total DFT energy (no corrections) = -35.9 eV for the cell shown
# Mass density = 10.6 Mg/m³
# Energy relative to the elements = -140 meV per atom

***

[2]
# Te2RhPb | the Alexandria database | PBE-GGA | relaxed
data_Te2RhPb
_space_group_name_H-M_alt 'R -3 m'
_space_group_IT_number 166
_space_group_name_Hall '-R 3 2"'
_cell_length_a 3.8260
_cell_length_b 3.8260
_cell_length_c 28.4922
_cell_angle_alpha 90.00
_cell_angle_beta 90.00
_cell_angle_gamma 120.00
loop_
_atom_site_label
_atom_site_fract_x
_atom_site_fract_y
_atom_site_fract_z
_atom_site_occupancy
Te1 0.0000 0.0000 0.1153 1
Rh1 0.0000 0.0000 0.5000 1
Pb1 0.0000 0.0000 0.0000 1
# Volume = 361 Å³ per cell
# Total DFT energy (no corrections) = -55.0 eV for the cell shown
# Mass density = 7.8 Mg/m³
# ΔE_f (raw) = -246 meV/atom

***

[3]
# YThCdTc | the Alexandria database | PBE-GGA | relaxed
data_YThCdTc
_space_group_name_H-M_alt 'F -4 3 m'
_space_group_IT_number 216
_space_group_name_Hall 'F -4 2 3'
_cell_length_a 7.291
_cell_length_b 7.291
_cell_length_c 7.291
_cell_angle_alpha 90.00
_cell_angle_beta 90.00
_cell_angle_gamma 90.00
loop_
_atom_site_label
_atom_site_fract_x
_atom_site_fract_y
_atom_site_fract_z
_atom_site_occupancy
Y1 0.000 0.000 0.000 1
Th1 0.000 0.000 0.500 1
Cd1 0.250 0.250 0.750 1
Tc1 0.250 0.250 0.250 1
# Volume = 388 Å³ per cell
# Total DFT energy (no corrections) = -101.4 eV for the cell shown
# Mass density = 9.1 Mg/m³
# Energy relative to the elements = -46 meV per atom

***

[4]
# La4Pr5Er | the Alexandria database | PBE-GGA | relaxed
data_La4Pr5Er
_space_group_name_H-M_alt 'P 4/m m m'
_space_group_IT_number 123
_space_group_name_Hall '-P 4 2'
_cell_length_a 3.717
_cell_length_b 3.717
_cell_length_c 26.125
_cell_angle_alpha 90.00
_cell_angle_beta 90.00
_cell_angle_gamma 90.00
loop_
_atom_site_label
_atom_site_fract_x
_atom_site_fract_y
_atom_site_fract_z
_atom_site_occupancy
La1 0.000 0.000 0.102 1
La2 0.000 0.000 0.304 1
Pr1 0.500 0.500 0.000 1
Pr2 0.500 0.500 0.203 1
Pr3 0.500 0.500 0.405 1
Er1 0.000 0.000 0.500 1
# Distance to the lowest polymorph of the same formula = 0 meV per atom
# Volume = 361 Å³ per cell
# Total DFT energy (no corrections) = -48.0 eV for the cell shown
# Mass density = 6.6 Mg/m³
# Energy relative to the elements = 20 meV per atom

***

[5]
# SrLiPm2Se4 | the Alexandria database | PBE-GGA | relaxed
data_SrLiPm2Se4
_space_group_name_H-M_alt 'C m c m'
_space_group_IT_number 63
_space_group_name_Hall '-C 2c 2'
_cell_length_a 4.194
_cell_length_b 13.966
_cell_length_c 14.597
_cell_angle_alpha 90.00
_cell_angle_beta 90.00
_cell_angle_gamma 90.00
loop_
_atom_site_label
_atom_site_fract_x
_atom_site_fract_y
_atom_site_fract_z
_atom_site_occupancy
Sr1 0.000 0.117 0.250 1
Li1 0.000 0.152 0.750 1
Pm1 0.000 0.371 0.058 1
Se1 0.000 0.000 0.000 1
Se2 0.000 0.272 0.621 1
Se3 0.000 0.448 0.250 1
# Volume = 855 Å³ per cell
# Total DFT energy (no corrections) = -165.6 eV for the cell shown
# Mass density = 5.4 Mg/m³
# ΔE_f (raw) = -1796 meV/atom

***

[6]
# AlOs2W | the Alexandria database | PBE-GGA | relaxed
data_AlOs2W
_space_group_name_H-M_alt 'R -3 m'
_space_group_IT_number 166
_space_group_name_Hall '-R 3 2"'
_cell_length_a 2.8112
_cell_length_b 2.8112
_cell_length_c 25.9648
_cell_angle_alpha 90.00
_cell_angle_beta 90.00
_cell_angle_gamma 120.00
loop_
_atom_site_label
_atom_site_fract_x
_atom_site_fract_y
_atom_site_fract_z
_atom_site_occupancy
Al1 0.0000 0.0000 0.0000 1
Os1 0.0000 0.0000 0.2512 1
W1 0.0000 0.0000 0.5000 1
# Volume = 178 Å³ per cell
# Total DFT energy (no corrections) = -118.0 eV for the cell shown
# Mass density = 16.6 Mg/m³
# Energy relative to the elements = -46 meV per atom